# 1
A plane-wave DFT calculation with PBE-GGA was carried out for crystalline CeGe4Pd at its relaxed geometry.

Cell and atoms, written as POSCAR:
```
CeGe4Pd
1.0
4.7987 -0.0110 -0.0033
-0.0222 5.5182 -0.1687
-2.3617 -2.6842 9.0114
Ce Ge Pd
2 8 2
Direct
0.2500 0.2500 0.0000 Ce
0.7500 0.7500 0.0000 Ce
0.8538 0.3788 0.2079 Ge
0.0730 0.9885 0.6482 Ge
0.4269 0.5115 0.3518 Ge
0.9270 0.0115 0.3518 Ge
0.3540 0.8788 0.2079 Ge
0.1462 0.6212 0.7921 Ge
0.6460 0.1212 0.7921 Ge
0.5731 0.4885 0.6482 Ge
0.5000 0.0000 0.5000 Pd
0.0000 0.5000 0.5000 Pd
```

Space group   No. 2

# 2
A plane-wave DFT calculation with PBE-GGA was carried out for crystalline Nd4SiPSe2 at its relaxed geometry.

Cell and atoms, written as POSCAR:
```
Nd4SiPSe2
1.0
-3.0338 -1.7770 -2.3451
5.0937 -3.0929 -4.2460
-1.6299 -4.5654 5.5681
Nd P Se Si
4 1 2 1
Direct
0.5000 0.2438 0.2336 Nd
0.0000 0.2536 0.7631 Nd
0.0000 0.7464 0.2369 Nd
0.5000 0.7562 0.7664 Nd
0.0000 0.0000 0.0000 P
0.5000 0.0000 0.5000 Se
0.0000 0.5000 0.5000 Se
0.5000 0.5000 0.0000 Si
```

Space group   No. 10
Energy relative to the elements, uncorrected   -1552 meV/atom

no.,electronic total energy (Ry/atom)
1,-0.382
2,-0.453